Crystalline ThGa5Ni2Pd at its relaxed geometry, computed with PBE.

Its calculated formation energy is -0.30 eV/atom. As for the density of states at the Fermi level: 4.875 states/eV/cell. Its crystal system is tetragonal.

It has space group P4/mmm (No. 123), with a = 4.6834 Å, b = 4.6834 Å, c = 7.1131 Å, α = 90.00°, β = 90.00° and γ = 90.00°. Symmetry generates all atoms from Th at (0.0000, 0.0000, 0.0000), Ga at (0.0000, 0.5000, 0.3044), Ga at (0.5000, 0.5000, 0.0000), Ni at (0.5000, 0.5000, 0.3242) and Pd at (0.0000, 0.0000, 0.5000).